# 1
The following is a GGA-PBE calculation of an optimized crystal structure of Cs2CoHgP, from Alexandria via LeMat-Bulk.

Geometry as extended XYZ:
```
5
Lattice="5.846 0.000 0.000 0.000 5.846 0.000 0.000 0.000 5.036" Properties=species:S:1:pos:R:3 pbc="T T T"
Cs 0.000 2.923 0.000
Cs 2.923 0.000 0.000
Co 0.000 0.000 0.000
Hg 0.000 0.000 2.518
P 2.923 2.923 2.518
```

Values from the calculation:
V	34.43	Å³/atom
energy	-10.866	eV per formula unit
E_form	731.7	meV per atom

# 2
The following is a GGA-PBE calculation of an optimized crystal structure of CsCoHg2Pb, from Alexandria via LeMat-Bulk.

Geometry as extended XYZ:
```
5
Lattice="5.376 0.000 0.000 0.000 5.376 0.000 0.000 0.000 5.026" Properties=species:S:1:pos:R:3 pbc="T T T"
Cs 0.000 0.000 0.000
Co 2.688 2.688 2.513
Hg 0.000 2.688 2.513
Hg 2.688 0.000 2.513
Pb 2.688 2.688 0.000
```

Values from the calculation:
V	29.06	Å³/atom
energy	-12.074	eV per formula unit
E_form	39.5	meV per atom

# 3
The following is a GGA-PBE calculation of an optimized crystal structure of CsCoHg2Pb, from Alexandria via LeMat-Bulk.

Geometry as extended XYZ:
```
5
Lattice="6.335 0.000 0.000 0.000 6.335 0.000 0.000 0.000 4.976" Properties=species:S:1:pos:R:3 pbc="T T T"
Cs 0.000 0.000 0.000
Co 0.000 0.000 2.488
Hg 0.000 3.167 0.000
Hg 3.167 0.000 0.000
Pb 3.167 3.167 2.488
```

Values from the calculation:
V	39.94	Å³/atom
energy	-5.842	eV per formula unit
E_form	1285.8	meV per atom

# 4
The following is a GGA-PBE calculation of an optimized crystal structure of CsCoHg2Sb, from Alexandria via LeMat-Bulk.

Geometry as extended XYZ:
```
5
Lattice="5.370 0.000 0.000 0.000 5.370 0.000 0.000 0.000 4.930" Properties=species:S:1:pos:R:3 pbc="T T T"
Cs 0.000 0.000 0.000
Co 2.685 2.685 2.465
Hg 0.000 2.685 2.465
Hg 2.685 0.000 2.465
Sb 2.685 2.685 0.000
```

Values from the calculation:
formation energy without anion corrections	-0.022	eV/atom
V	28.43	Å³/atom
energy	-12.794	eV per formula unit